[1]
DFT (GGA-PBE) results for an optimized crystal structure of Nd2ZnNiH.

a b c (Å): 5.665 4.482 7.771
angles (deg): 90.00 102.79 90.00
Space group P2_1/m (No. 11)
Unique sites:
Nd  0.212  0.250  0.436 (multiplicity 2)
Nd  0.218  0.250  0.936 (multiplicity 2)
Zn  0.371  0.750  0.730 (multiplicity 2)
Ni  0.361  0.750  0.227 (multiplicity 2)
H  0.111  0.750  0.325 (multiplicity 2)

Calculated values
As for the crystal system: monoclinic.

=====

[2]
DFT (GGA-PBE) results for an optimized crystal structure of YSi2Pt2.

a b c (Å): 4.263 4.263 9.868
angles (deg): 90.00 90.00 90.00
Space group I4/mmm (No. 139)
Unique sites:
Y  0.000  0.000  0.000 (multiplicity 2)
Si  0.000  0.500  0.250 (multiplicity 4)
Pt  0.000  0.000  0.364 (multiplicity 4)

Calculated values
The formation energy (no corrections) comes out at -1.01 eV/atom. As for the crystal system: tetragonal.

=====

[3]
DFT (GGA-PBE) results for an optimized crystal structure of NbCrOsW.

a b c (Å): 6.240 6.240 6.240
angles (deg): 90.00 90.00 90.00
Space group F-43m (No. 216)
Unique sites:
Nb  0.000  0.000  0.000 (multiplicity 4)
Cr  0.250  0.250  0.250 (multiplicity 4)
Os  0.250  0.250  0.750 (multiplicity 4)
W  0.000  0.000  0.500 (multiplicity 4)

Calculated values
The value obtained for the formation energy is -8 meV/atom. As for the crystal system: cubic.

=====

Raw total energy values, unit eV/f.u., following the record order: -21.7; -34.4; -43.9.